DFT (PBE) results for a relaxed structure of Pa2TcN.

Excess energy over the best structure of this formula in the dataset, meV/atom: 42
D(E_F), states/eV/f.u.: 6.376
Formation energy (no corrections), eV/atom: -0.347

CIF file:
```
data_Pa2TcN
_chemical_formula_sum 'Pa2 Tc1 N1'
_space_group_name_H-M_alt 'P 4/m m m'
_space_group_IT_number 123
_space_group_name_Hall '-P 4 2'
_cell_length_a 3.0652
_cell_length_b 3.0652
_cell_length_c 7.0999
_cell_angle_alpha 90.00
_cell_angle_beta 90.00
_cell_angle_gamma 90.00
loop_
_atom_site_label
_atom_site_type_symbol
_atom_site_fract_x
_atom_site_fract_y
_atom_site_fract_z
Pa1 Pa 0.0000 0.0000 0.2182
Tc1 Tc 0.5000 0.5000 0.5000
N1 N 0.5000 0.5000 0.0000
```

=====

DFT (PBE) results for a relaxed structure of NpNb2Cu.

Formation energy from the elements, kJ/mol of formula units: 115
Excess energy over the best structure of this formula in the dataset, meV/atom: 0
D(E_F), states/eV/f.u.: 6.379

CIF file:
```
data_NpNb2Cu
_chemical_formula_sum 'Np1 Nb2 Cu1'
_space_group_name_H-M_alt 'P 4/m m m'
_space_group_IT_number 123
_space_group_name_Hall '-P 4 2'
_cell_length_a 4.5492
_cell_length_b 4.5492
_cell_length_c 3.3770
_cell_angle_alpha 90.00
_cell_angle_beta 90.00
_cell_angle_gamma 90.00
loop_
_atom_site_label
_atom_site_type_symbol
_atom_site_fract_x
_atom_site_fract_y
_atom_site_fract_z
Np1 Np 0.0000 0.0000 0.0000
Nb1 Nb 0.0000 0.5000 0.5000
Cu1 Cu 0.5000 0.5000 0.0000
```

=====

DFT (PBE) results for a relaxed structure of Mn2TlOs.

Formation energy from the elements, kJ/mol of formula units: 234
Excess energy over the best structure of this formula in the dataset, meV/atom: 196
D(E_F), states/eV/f.u.: 4.213

CIF file:
```
data_Mn2TlOs
_chemical_formula_sum 'Mn4 Tl2 Os2'
_space_group_name_H-M_alt 'I -4 m 2'
_space_group_IT_number 119
_space_group_name_Hall 'I -4 -2'
_cell_length_a 4.0309
_cell_length_b 4.0309
_cell_length_c 7.8932
_cell_angle_alpha 90.00
_cell_angle_beta 90.00
_cell_angle_gamma 90.00
loop_
_atom_site_label
_atom_site_type_symbol
_atom_site_fract_x
_atom_site_fract_y
_atom_site_fract_z
Mn1 Mn 0.0000 0.0000 0.0000
Mn2 Mn 0.0000 0.5000 0.2500
Tl1 Tl 0.0000 0.0000 0.5000
Os1 Os 0.0000 0.5000 0.7500
```

=====

DFT (PBE) results for a relaxed structure of AcPmPr2.

Formation energy from the elements, kJ/mol of formula units: 40
Excess energy over the best structure of this formula in the dataset, meV/atom: 84
D(E_F), states/eV/f.u.: 9.295

CIF file:
```
data_AcPmPr2
_chemical_formula_sum 'Ac1 Pm1 Pr2'
_space_group_name_H-M_alt 'P 4/m m m'
_space_group_IT_number 123
_space_group_name_Hall '-P 4 2'
_cell_length_a 4.3786
_cell_length_b 4.3786
_cell_length_c 7.8526
_cell_angle_alpha 90.00
_cell_angle_beta 90.00
_cell_angle_gamma 90.00
loop_
_atom_site_label
_atom_site_type_symbol
_atom_site_fract_x
_atom_site_fract_y
_atom_site_fract_z
Ac1 Ac 0.0000 0.0000 0.0000
Pm1 Pm 0.0000 0.0000 0.5000
Pr1 Pr 0.5000 0.5000 0.2746
```

=====

DFT (PBE) results for a relaxed structure of CaTaP3.

Formation energy from the elements, kJ/mol of formula units: -156
Excess energy over the best structure of this formula in the dataset, meV/atom: 0
D(E_F), states/eV/f.u.: 5.510

CIF file:
```
data_CaTaP3
_chemical_formula_sum 'Ca1 Ta1 P3'
_space_group_name_H-M_alt 'P m -3 m'
_space_group_IT_number 221
_space_group_name_Hall '-P 4 2 3'
_cell_length_a 4.8462
_cell_length_b 4.8462
_cell_length_c 4.8462
_cell_angle_alpha 90.00
_cell_angle_beta 90.00
_cell_angle_gamma 90.00
loop_
_atom_site_label
_atom_site_type_symbol
_atom_site_fract_x
_atom_site_fract_y
_atom_site_fract_z
Ca1 Ca 0.0000 0.0000 0.0000
Ta1 Ta 0.5000 0.5000 0.5000
P1 P 0.0000 0.5000 0.5000
```

=====

DFT (PBE) results for a relaxed structure of TmZn8Fe4.

Formation energy from the elements, kJ/mol of formula units: -92
D(E_F), states/eV/f.u.: 11.377

CIF file:
```
data_TmZn8Fe4
_chemical_formula_sum 'Tm2 Zn16 Fe8'
_space_group_name_H-M_alt 'I 4/m m m'
_space_group_IT_number 139
_space_group_name_Hall '-I 4 2'
_cell_length_a 8.6885
_cell_length_b 8.6885
_cell_length_c 5.0124
_cell_angle_alpha 90.00
_cell_angle_beta 90.00
_cell_angle_gamma 90.00
loop_
_atom_site_label
_atom_site_type_symbol
_atom_site_fract_x
_atom_site_fract_y
_atom_site_fract_z
Tm1 Tm 0.0000 0.0000 0.0000
Zn1 Zn 0.0000 0.2245 0.5000
Zn2 Zn 0.0000 0.3372 0.0000
Fe1 Fe 0.2500 0.2500 0.2500
```